No. 1
# HgSbCl2

HgSbCl2 at its PBEsol-relaxed geometry (meta-GGA SCAN, Alexandria via LeMat-Bulk).

Output
The value obtained for the energy above the lowest structure with this stoichiometry is 0 meV/atom. The value obtained for the total energy is -30.40 eV per atom. As for the spin magnetization: 0.00 μB/atom. Its uncorrected formation energy is -0.052 eV per atom.

a b c (Å): 5.395 5.395 5.395
angles (deg): 130.52 130.52 72.58
Positions (direct):
1 Hg 0.000 0.000 0.000
2 Sb 0.500 0.500 0.000
3 Cl 0.250 0.750 0.500
4 Cl 0.750 0.250 0.500

---

No. 2
# Hg2SbCl

Hg2SbCl at its PBEsol-relaxed geometry (meta-GGA SCAN, Alexandria via LeMat-Bulk).

Output
The value obtained for the energy above the lowest structure with this stoichiometry is 193 meV/atom. The value obtained for the total energy is -45.41 eV per atom. As for the spin magnetization: 0.00 μB/atom. Its uncorrected formation energy is -0.022 eV per atom.

a b c (Å): 7.075 7.075 7.075
angles (deg): 154.24 139.77 48.39
Positions (direct):
1 Hg 0.213 0.213 0.000
2 Hg 0.787 0.787 0.000
3 Sb 0.000 0.500 0.500
4 Cl 0.500 0.000 0.500